A plane-wave DFT calculation with PBE was carried out for Li2SnCl after structural relaxation.

Cell and atoms, written as POSCAR:
```
Li2SnCl
1.0
1.708 0.986 7.831
-1.708 0.986 7.831
0.000 -1.972 7.831
Li Sn Cl
2 1 1
direct
0.230 0.230 0.230
0.770 0.770 0.770
0.000 0.000 0.000
0.500 0.500 0.500
```

Final energy, eV per cell: -13.47
Space-group type: R-3m (166)
ρ, g/cm³: 3.53
E_form (uncorrected), eV per atom: -0.948
Volume, Å³ per cell: 79.1
Energy above the most stable polymorph in this dataset, meV per atom: 0